# 1
Below is a relaxed TaGe2Ir crystal, with properties calculated at the PBE level.

Properties
Raw total energy (eV/atom): -7.372

a b c (Å): 4.5352 4.5352 4.5352
angles (deg): 60.00 60.00 60.00
Closest atoms and distances in Å follow each position.
Atoms (fractional coordinates):
Ge (0.0000, 0.0000, 0.0000)  4 Ge 2.78, 4 Ta 2.78
Ge (0.2500, 0.2500, 0.2500)  4 Ge 2.78, 4 Ir 2.78
Ir (0.5000, 0.5000, 0.5000)  4 Ta 2.78, 4 Ge 2.78
Ta (0.7500, 0.7500, 0.7500)  4 Ge 2.78, 4 Ir 2.78

# 2
Below is a relaxed Tb6Ge2Ir crystal, with properties calculated at the PBE level.

Properties
Raw total energy (eV/atom): -5.758

a b c (Å): 7.8683 7.8683 4.2860
angles (deg): 90.00 90.00 120.00
Closest atoms and distances in Å follow each position.
Atoms (fractional coordinates):
Ge (0.6667, 0.3333, 0.0000)  9 Tb 3.00-3.21
Ge (0.3333, 0.6667, 0.0000)  9 Tb 3.00-3.21
Ir (0.0000, 0.0000, 0.5000)  9 Tb 2.91-3.20
Tb (0.7499, 0.0000, 0.0000)  2 Ir 2.91, 2 Ge 3.00
Tb (0.2501, 0.2501, 0.0000)  2 Ir 2.91, 2 Ge 3.00
Tb (0.0000, 0.7499, 0.0000)  2 Ir 2.91, 2 Ge 3.00
Tb (0.4069, 0.0000, 0.5000)  1 Ir 3.20, 4 Ge 3.21, 6 Tb 3.45-3.52
Tb (0.0000, 0.4069, 0.5000)  1 Ir 3.20, 4 Ge 3.21, 6 Tb 3.45-3.52
Tb (0.5931, 0.5931, 0.5000)  1 Ir 3.20, 4 Ge 3.21, 6 Tb 3.45-3.52

# 3
Below is a relaxed Tb3Ge3Ir2 crystal, with properties calculated at the PBE level.

Properties
Raw total energy (eV/atom): -6.601

a b c (Å): 5.6958 5.6958 14.3570
angles (deg): 90.00 90.00 135.29
Closest atoms and distances in Å follow each position.
Atoms (fractional coordinates):
Ge (0.3760, 0.6240, 0.0353)  3 Ir 2.50-2.71, 1 Ge 2.80
Ge (0.6575, 0.3425, 0.2500)  2 Ir 2.60
Ge (0.3760, 0.6240, 0.4647)  3 Ir 2.50-2.71, 1 Ge 2.80
Ge (0.6240, 0.3760, 0.5353)  3 Ir 2.50-2.71, 1 Ge 2.80
Ge (0.3425, 0.6575, 0.7500)  2 Ir 2.60
Ge (0.6240, 0.3760, 0.9647)  3 Ir 2.50-2.71, 1 Ge 2.80
Ir (0.7998, 0.2002, 0.1023)  4 Ge 2.50-2.71
Ir (0.7998, 0.2002, 0.3977)  4 Ge 2.50-2.71
Ir (0.2002, 0.7998, 0.6023)  4 Ge 2.50-2.71
Ir (0.2002, 0.7998, 0.8977)  4 Ge 2.50-2.71
Tb (0.0843, 0.9157, 0.1104)  4 Ir 3.00-3.29, 7 Ge 3.04-3.27
Tb (0.3579, 0.6421, 0.2500)  5 Ge 3.03-3.16, 4 Ir 3.09
Tb (0.0843, 0.9157, 0.3896)  4 Ir 3.00-3.29, 7 Ge 3.04-3.27
Tb (0.9157, 0.0843, 0.6104)  4 Ir 3.00-3.29, 7 Ge 3.04-3.27
Tb (0.6421, 0.3579, 0.7500)  5 Ge 3.03-3.16, 4 Ir 3.09
Tb (0.9157, 0.0843, 0.8896)  4 Ir 3.00-3.29, 7 Ge 3.04-3.27

# 4
Below is a relaxed Tb3Ge13Ir4 crystal, with properties calculated at the PBE level.

Properties
Raw total energy (eV/atom): -5.984

a b c (Å): 9.0453 9.0453 9.0453
angles (deg): 90.00 90.00 90.00
Closest atoms and distances in Å follow each position.
Atoms (fractional coordinates):
Ge (0.0000, 0.0000, 0.0000)  12 Ge 3.07
Ge (0.1450, 0.3073, 0.0000)  2 Ir 2.51, 1 Ge 2.62
Ge (0.8550, 0.3073, 0.0000)  2 Ir 2.51, 1 Ge 2.62
Ge (0.1450, 0.6927, 0.0000)  2 Ir 2.51, 1 Ge 2.62
Ge (0.8550, 0.6927, 0.0000)  2 Ir 2.51, 1 Ge 2.62
Ge (0.3073, 0.0000, 0.1450)  2 Ir 2.51, 1 Ge 2.62
Ge (0.6927, 0.0000, 0.1450)  2 Ir 2.51, 1 Ge 2.62
Ge (0.3550, 0.5000, 0.1927)  2 Ir 2.51, 1 Ge 2.62
Ge (0.6450, 0.5000, 0.1927)  2 Ir 2.51, 1 Ge 2.62
Ge (0.0000, 0.1450, 0.3073)  2 Ir 2.51, 1 Ge 2.62
Ge (0.0000, 0.8550, 0.3073)  2 Ir 2.51, 1 Ge 2.62
Ge (0.5000, 0.1927, 0.3550)  2 Ir 2.51, 1 Ge 2.62
Ge (0.5000, 0.8073, 0.3550)  2 Ir 2.51, 1 Ge 2.62
Ge (0.1927, 0.3550, 0.5000)  2 Ir 2.51, 1 Ge 2.62
Ge (0.8073, 0.3550, 0.5000)  2 Ir 2.51, 1 Ge 2.62
Ge (0.5000, 0.5000, 0.5000)  12 Ge 3.07
Ge (0.1927, 0.6450, 0.5000)  2 Ir 2.51, 1 Ge 2.62
Ge (0.8073, 0.6450, 0.5000)  2 Ir 2.51, 1 Ge 2.62
Ge (0.5000, 0.1927, 0.6450)  2 Ir 2.51, 1 Ge 2.62
Ge (0.5000, 0.8073, 0.6450)  2 Ir 2.51, 1 Ge 2.62
Ge (0.0000, 0.1450, 0.6927)  2 Ir 2.51, 1 Ge 2.62
Ge (0.0000, 0.8550, 0.6927)  2 Ir 2.51, 1 Ge 2.62
Ge (0.3550, 0.5000, 0.8073)  2 Ir 2.51, 1 Ge 2.62
Ge (0.6450, 0.5000, 0.8073)  2 Ir 2.51, 1 Ge 2.62
Ge (0.3073, 0.0000, 0.8550)  2 Ir 2.51, 1 Ge 2.62
Ge (0.6927, 0.0000, 0.8550)  2 Ir 2.51, 1 Ge 2.62
Ir (0.2500, 0.2500, 0.2500)  6 Ge 2.51
Ir (0.7500, 0.2500, 0.2500)  6 Ge 2.51
Ir (0.2500, 0.7500, 0.2500)  6 Ge 2.51
Ir (0.7500, 0.7500, 0.2500)  6 Ge 2.51
Ir (0.2500, 0.2500, 0.7500)  6 Ge 2.51
Ir (0.7500, 0.2500, 0.7500)  6 Ge 2.51
Ir (0.2500, 0.7500, 0.7500)  6 Ge 2.51
Ir (0.7500, 0.7500, 0.7500)  6 Ge 2.51
Tb (0.5000, 0.2500, 0.0000)  12 Ge 3.14-3.25, 4 Ir 3.20
Tb (0.5000, 0.7500, 0.0000)  12 Ge 3.14-3.25, 4 Ir 3.20
Tb (0.0000, 0.5000, 0.2500)  12 Ge 3.14-3.25, 4 Ir 3.20
Tb (0.2500, 0.0000, 0.5000)  12 Ge 3.14-3.25, 4 Ir 3.20
Tb (0.7500, 0.0000, 0.5000)  12 Ge 3.14-3.25, 4 Ir 3.20
Tb (0.0000, 0.5000, 0.7500)  12 Ge 3.14-3.25, 4 Ir 3.20

> Look up the raw total energy of the first one.

-7.372 eV/atom

> Look up the raw total energy of the third one.

-6.601 eV/atom